The following is a DFT calculation (PBE) of a geometry-optimized PuBiS4 structure.

Results
As for the density of states at the Fermi level: 1.2364 states/eV/atom. As for the uncorrected formation energy: -72.3 kJ per mole of atoms. The value obtained for the calculated volume is 180.3 Å³/cell. The space group is P2/m.

Cell lengths 6.486, 4.013, 6.931 Å; angles 90.00, 92.00, 90.00 degrees
Fractional positions:
Pu 0.000 0.000 0.000
Bi 0.000 0.500 0.500
S 0.216 0.500 0.859
S 0.226 0.000 0.314
S 0.774 0.000 0.686
S 0.784 0.500 0.141